5
Lattice="5.8750 0.0000 0.0000 0.0000 5.8750 0.0000 0.0000 0.0000 5.8750" Properties=species:S:1:pos:R:3 comment="La4Au GGA-PBE optimized geometry" relative_energy_mev_per_atom=244 vol_a3_per_fu=202.8 e_form_kj_per_mol_fu=-32 m_tot_mub_per_cell=0.00 total_energy_ev_per_atom=-4.663 density_g_cm3=6.2 pbc="T T T"
La 0.0000 0.0000 0.0000
La 0.0000 2.9375 2.9375
La 2.9375 0.0000 2.9375
La 2.9375 2.9375 0.0000
Au 2.9375 2.9375 2.9375

---

5
Lattice="2.3811 1.3747 6.8972 -2.3811 1.3747 6.8972 0.0000 -2.7494 6.8972" Properties=species:S:1:pos:R:3 comment="La2Au3 GGA-PBE optimized geometry" relative_energy_mev_per_atom=42 vol_a3_per_fu=135.5 e_form_kj_per_mol_fu=-372 m_tot_mub_per_cell=0.00 total_energy_ev_per_atom=-4.708 density_g_cm3=10.6 pbc="T T T"
La 0.0000 0.0000 1.7902
La 0.0000 0.0000 18.9015
Au 0.0000 0.0000 6.9135
Au 0.0000 0.0000 10.3458
Au 0.0000 0.0000 13.7782

---

12
Lattice="5.8214 0.0000 0.0000 -2.9107 5.0415 0.0000 0.0000 0.0000 9.3926" Properties=species:S:1:pos:R:3 comment="LaAu2 GGA-PBE optimized geometry" vol_a3_per_fu=68.9 e_form_kj_per_mol_fu=-181 m_tot_mub_per_cell=0.00 total_energy_ev_per_atom=-4.454 density_g_cm3=12.8 pbc="T T T"
La 0.0000 3.3610 0.4549
La 0.0000 3.3610 4.2414
La 2.9107 1.6805 5.1512
La 2.9107 1.6805 8.9378
Au 0.0000 0.0000 0.0000
Au 0.0000 0.0000 4.6963
Au 0.0000 1.6958 7.0445
Au -1.4421 4.1936 7.0445
Au 1.4686 0.8479 2.3482
Au 1.4421 4.1936 7.0445
Au 4.3528 0.8479 2.3482
Au 2.9107 3.3457 2.3482

---

9
Lattice="7.8861 0.0000 0.0000 -3.9431 6.8296 0.0000 0.0000 0.0000 4.4651" Properties=species:S:1:pos:R:3 comment="LaAu2 GGA-PBE optimized geometry" vol_a3_per_fu=80.2 e_form_kj_per_mol_fu=-176 m_tot_mub_per_cell=0.00 total_energy_ev_per_atom=-4.434 density_g_cm3=11.0 pbc="T T T"
La 0.0000 0.0000 0.0000
La 0.0000 4.5531 2.2325
La 3.9431 2.2765 2.2325
Au -1.0071 1.7444 2.2325
Au -2.3252 4.0273 0.0000
Au 2.0142 0.0000 2.2325
Au 1.6179 2.8023 0.0000
Au 4.6503 0.0000 0.0000
Au 2.9360 5.0852 2.2325

---

6
Lattice="0.0000 4.6160 4.6160 4.6160 0.0000 4.6160 4.6160 4.6160 0.0000" Properties=species:S:1:pos:R:3 comment="La5Au GGA-PBE optimized geometry" relative_energy_mev_per_atom=471 vol_a3_per_fu=196.7 e_form_kj_per_mol_fu=127 m_tot_mub_per_cell=0.00 total_energy_ev_per_atom=-4.433 density_g_cm3=7.5 pbc="T T T"
La 0.0000 0.0000 0.0000
La 3.4718 3.4718 3.4718
La 5.7602 5.7602 3.4718
La 5.7602 3.4718 5.7602
La 3.4718 5.7602 5.7602
Au 6.9240 6.9240 6.9240

---

8
Lattice="6.2090 0.0000 0.0000 0.0000 6.2090 0.0000 0.0000 0.0000 6.0860" Properties=species:S:1:pos:R:3 comment="LaAu GGA-PBE optimized geometry" vol_a3_per_fu=58.7 e_form_kj_per_mol_fu=-139 m_tot_mub_per_cell=0.00 total_energy_ev_per_atom=-4.821 density_g_cm3=9.5 pbc="T T T"
La 1.2597 1.2597 0.0000
La 1.8448 4.3642 3.0430
La 4.3642 1.8448 3.0430
La 4.9493 4.9493 0.0000
Au 1.1726 1.1726 3.0430
Au 1.9319 4.2771 0.0000
Au 4.2771 1.9319 0.0000
Au 5.0365 5.0365 3.0430

---

15
Lattice="6.6396 0.0000 0.0000 1.2994 8.6471 0.0000 1.9160 3.3307 8.8885" Properties=species:S:1:pos:R:3 comment="La13Au2 GGA-PBE optimized geometry" vol_a3_per_fu=510.3 e_form_kj_per_mol_fu=-272 m_tot_mub_per_cell=0.00 total_energy_ev_per_atom=-4.895 density_g_cm3=7.2 pbc="T T T"
La 0.0000 0.0000 0.0000
La 2.2356 5.9948 6.2214
La 2.0718 2.2976 2.0889
La 4.2430 8.3300 8.4857
La 4.3206 10.6641 5.7135
La 4.3801 4.5656 3.7195
La 4.4807 7.3955 1.4059
La 5.3743 4.5824 7.4826
La 5.4749 7.4123 5.1691
La 5.5345 1.3137 3.1750
La 5.6120 3.6478 0.4028
La 7.7832 9.6802 6.7996
La 7.6194 5.9831 2.6671
Au 2.7204 8.2509 3.9652
Au 7.1346 3.7270 4.9233

---

8
Lattice="3.7508 -5.2307 0.0000 3.7508 5.2307 0.0000 0.0000 0.0000 5.2056" Properties=species:S:1:pos:R:3 comment="La3Au5 GGA-PBE optimized geometry" relative_energy_mev_per_atom=65 vol_a3_per_fu=204.3 e_form_kj_per_mol_fu=-558 m_tot_mub_per_cell=0.00 total_energy_ev_per_atom=-4.619 density_g_cm3=11.4 pbc="T T T"
La 0.0000 0.0000 0.0000
La 3.7508 2.0893 2.6028
La 3.7508 -2.0893 2.6028
Au 1.8754 2.6154 0.0000
Au 1.5163 0.0000 2.6028
Au 1.8754 -2.6154 0.0000
Au 3.7508 0.0000 0.0000
Au 5.9852 0.0000 2.6028

---

16
Lattice="8.9202 0.0000 0.0000 -4.4601 7.7251 0.0000 0.0000 0.0000 7.0339" Properties=species:S:1:pos:R:3 comment="La5Au3 GGA-PBE optimized geometry" relative_energy_mev_per_atom=0 vol_a3_per_fu=242.3 e_form_kj_per_mol_fu=-460 m_tot_mub_per_cell=0.00 total_energy_ev_per_atom=-4.904 density_g_cm3=8.8 pbc="T T T"
La -1.0853 1.8799 1.7585
La -3.3747 5.8452 5.2754
La 2.1707 0.0000 1.7585
La 1.0853 1.8799 5.2754
La 0.0000 5.1501 0.0000
La 0.0000 5.1501 3.5170
La 4.4601 2.5750 0.0000
La 4.4601 2.5750 3.5170
La 6.7495 0.0000 5.2754
La 3.3747 5.8452 1.7585
Au -1.7679 3.0622 5.2754
Au -2.6921 4.6629 1.7585
Au 3.5359 0.0000 5.2754
Au 1.7679 3.0622 1.7585
Au 5.3843 0.0000 1.7585
Au 2.6921 4.6629 5.2754

---

20
Lattice="10.6164 0.0000 0.0000 -5.3082 9.1941 0.0000 0.0000 0.0000 6.6170" Properties=species:S:1:pos:R:3 comment="La7Au3 GGA-PBE optimized geometry" vol_a3_per_fu=322.9 e_form_kj_per_mol_fu=-496 m_tot_mub_per_cell=0.00 total_energy_ev_per_atom=-4.947 density_g_cm3=8.0 pbc="T T T"
La -2.0607 4.9397 0.0000
La 0.0000 2.3541 1.9310
La -3.2695 8.0171 1.9310
La 2.0387 1.1770 5.2395
La 0.0000 6.1294 3.1562
La 2.0607 4.9397 0.0000
La 0.0000 8.5089 0.0000
La 5.3082 0.6852 3.3085
La 3.2475 4.2544 3.3085
La 5.3082 3.0647 6.4647
La 3.2695 8.0171 1.9310
La 8.5777 1.1770 5.2395
La 5.3082 6.8400 5.2395
La 7.3689 4.2544 3.3085
Au 0.0000 3.4905 4.8327
Au -2.2853 7.4488 4.8327
Au 3.0229 1.7453 1.5242
Au 2.2853 7.4488 4.8327
Au 7.5936 1.7453 1.5242
Au 5.3082 5.7036 1.5242

---

20
Lattice="-5.2194 5.2194 5.2194 5.2194 -5.2194 5.2194 5.2194 5.2194 -5.2194" Properties=species:S:1:pos:R:3 comment="La2Au3 GGA-PBE optimized geometry" relative_energy_mev_per_atom=135 vol_a3_per_fu=142.2 e_form_kj_per_mol_fu=-327 m_tot_mub_per_cell=0.00 total_energy_ev_per_atom=-4.615 density_g_cm3=10.1 pbc="T T T"
La 4.8180 0.4013 -0.4013
La 7.4277 -2.2084 2.2084
La 0.4013 0.4013 0.4013
La 0.4013 -0.4013 4.8180
La -0.4013 4.8180 0.4013
La 2.2084 7.4277 -2.2084
La 3.0110 3.0110 3.0110
La -2.2084 2.2084 7.4277
Au 5.2194 2.6097 -2.5065
Au 2.6097 2.5065 0.0000
Au 2.5065 0.0000 2.6097
Au 5.3225 0.0000 2.6097
Au 2.6097 -2.5065 5.2194
Au 0.0000 2.6097 2.5065
Au 2.6097 5.3225 0.0000
Au 5.2194 2.6097 5.1162
Au -2.5065 5.2194 2.6097
Au 5.1162 5.2194 2.6097
Au 0.0000 2.6097 5.3225
Au 2.6097 5.1162 5.2194

---

4
Lattice="3.8161 0.0000 0.0000 0.0000 3.8161 0.0000 0.0000 0.0000 8.7054" Properties=species:S:1:pos:R:3 comment="La3Au GGA-PBE optimized geometry" vol_a3_per_fu=126.8 e_form_kj_per_mol_fu=-146 m_tot_mub_per_cell=0.00 total_energy_ev_per_atom=-4.893 density_g_cm3=8.0 pbc="T T T"
La 0.0000 0.0000 0.0000
La 1.9080 1.9080 2.5319
La 1.9080 1.9080 6.1734
Au 0.0000 0.0000 4.3527